{
  "formula": "Na2MnO4",
  "functional": "GGA+U",
  "state": "optimized geometry",
  "crystal_system": "triclinic",
  "e_tot_ev_per_atom": -5.512,
  "cell": [[5.753, 0.406, 0.355], [-2.537, 4.742, 0.045], [0.405, 0.370, 7.255]],
  "species": ["Na", "Na", "Na", "Na", "Mn", "Mn", "O", "O", "O", "O", "O", "O", "O", "O"],
  "fractional_positions": [[0.701, 0.370, 0.634], [0.302, 0.661, 0.223], [0.959, 0.961, 0.380], [0.961, 0.962, 0.876], [0.663, 0.306, 0.154], [0.351, 0.701, 0.707], [0.842, 0.502, 0.304], [0.274, 0.783, 0.915], [0.666, 0.897, 0.640], [0.356, 0.238, 0.224], [0.715, 0.022, 0.152], [0.290, 0.371, 0.710], [0.179, 0.761, 0.557], [0.742, 0.465, 0.945]]
}